Ho6CdRu2 | GGA-PBE | relaxed Values from VASP.

Cell and atoms, written as Quantum ESPRESSO input:
```
&SYSTEM
  ibrav = 0, nat = 18, ntyp = 3
/
ATOMIC_SPECIES
Ho 164.93 Ho.upf
Ru 101.07 Ru.upf
Cd 112.41 Cd.upf
ATOMIC_POSITIONS crystal
Ho 0.314 0.984 0.671
Ho 0.797 0.759 0.556
Ho 0.686 0.016 0.329
Ho 0.686 0.357 0.671
Ho 0.532 0.714 0.817
Ho 0.203 0.241 0.444
Ru 0.500 0.372 0.872
Ho 0.203 0.759 0.962
Cd 0.000 0.000 0.000
Ho 0.897 0.714 0.183
Ho 0.797 0.241 0.038
Ru 0.500 0.628 0.128
Ho 0.314 0.643 0.329
Ho 0.468 0.286 0.183
Ru 0.677 0.000 0.677
Cd 0.000 0.500 0.500
Ru 0.323 0.000 0.323
Ho 0.103 0.286 0.817
CELL_PARAMETERS angstrom
-5.800 5.895 -1.689
-2.810 -7.853 -1.297
2.231 -0.038 8.141
```

Properties
Its energy of formation from the pure elements is -0.34 eV/atom. The value obtained for the energy above the most stable polymorph in this dataset is 0.000 eV per atom. Its space-group type is Immm. For the density of states at the Fermi level, the calculation gives 16.95 states/eV per cell.